Here is KScAl2 after structural relaxation from the Alexandria database. Energies are from GGA-PBE.

Cell lengths 5.175, 5.175, 5.175 Å; angles 60.00, 60.00, 60.00 degrees
Atoms (fractional coordinates):
K1 0.000 0.000 0.000
Sc1 0.500 0.500 0.500
Al1 0.250 0.250 0.250
Al2 0.750 0.750 0.750

Properties
Formation enthalpy at 0 K ... 0.301 eV/atom
Space group ... Fm-3m
Polymorph energy (0 for the lowest one) ... 323 meV per atom


Here is CsB3H after structural relaxation from the Alexandria database. Energies are from GGA-PBE.

Cell lengths 4.193, 4.193, 4.193 Å; angles 90.00, 90.00, 90.00 degrees
Atoms (fractional coordinates):
Cs1 0.000 0.000 0.000
B1 0.000 0.500 0.500
B2 0.500 0.000 0.500
B3 0.500 0.500 0.000
H1 0.500 0.500 0.500

Properties
Space group ... Pm-3m
Polymorph energy (0 for the lowest one) ... 0 meV per atom


Here is Ac3Ga2Co4 after structural relaxation from the Alexandria database. Energies are from GGA-PBE.

Cell lengths 5.807, 5.807, 8.515 Å; angles 97.46, 97.46, 42.33 degrees
Atoms (fractional coordinates):
Ac1 0.000 0.000 0.000
Ac2 0.378 0.378 0.618
Ac3 0.622 0.622 0.382
Ga1 0.324 0.324 0.213
Ga2 0.676 0.676 0.787
Co1 0.096 0.096 0.659
Co2 0.248 0.248 0.923
Co3 0.752 0.752 0.077
Co4 0.904 0.904 0.341

Properties
Formation enthalpy at 0 K ... -0.200 eV/atom
Space group ... C2/m


Here is Th2AlGe after structural relaxation from the Alexandria database. Energies are from GGA-PBE.

Cell lengths 8.017, 8.017, 8.017 Å; angles 30.19, 30.19, 30.19 degrees
Atoms (fractional coordinates):
Th1 0.244 0.244 0.244
Th2 0.756 0.756 0.756
Al1 0.000 0.000 0.000
Ge1 0.500 0.500 0.500

Properties
Formation enthalpy at 0 K ... -0.354 eV/atom
Space group ... R-3m
Polymorph energy (0 for the lowest one) ... 206 meV per atom


Here is MnBe2VBi after structural relaxation from the Alexandria database. Energies are from GGA-PBE.

Cell lengths 4.519, 4.519, 4.227 Å; angles 90.00, 90.00, 90.00 degrees
Atoms (fractional coordinates):
Mn1 0.000 0.000 0.000
Be1 0.000 0.500 0.500
Be2 0.500 0.000 0.500
V1 0.000 0.000 0.500
Bi1 0.500 0.500 0.000

Properties
Formation enthalpy at 0 K ... 1.037 eV/atom
Space group ... P4/mmm


Here is K2As2Au3 after structural relaxation from the Alexandria database. Energies are from GGA-PBE.

Cell lengths 6.842, 6.842, 6.858 Å; angles 97.42, 97.42, 36.75 degrees
Atoms (fractional coordinates):
K1 0.115 0.115 0.345
K2 0.885 0.885 0.655
As1 0.379 0.379 0.252
As2 0.621 0.621 0.748
Au1 0.204 0.204 0.894
Au2 0.500 0.500 0.000
Au3 0.796 0.796 0.106

Properties
Formation enthalpy at 0 K ... -0.399 eV/atom
Space group ... C2/m


Here is GdTmMg4 after structural relaxation from the Alexandria database. Energies are from GGA-PBE.

Cell lengths 6.027, 6.027, 6.027 Å; angles 60.00, 60.00, 60.00 degrees
Atoms (fractional coordinates):
Gd1 0.000 0.000 0.000
Tm1 0.250 0.250 0.250
Mg1 0.125 0.625 0.625
Mg2 0.625 0.125 0.625
Mg3 0.625 0.625 0.125
Mg4 0.625 0.625 0.625

Properties
Formation enthalpy at 0 K ... -0.072 eV/atom
Space group ... F-43m


Here is PdRuPb2 after structural relaxation from the Alexandria database. Energies are from GGA-PBE.

Cell lengths 7.667, 7.667, 7.667 Å; angles 133.39, 133.39, 68.05 degrees
Atoms (fractional coordinates):
Pd1 0.000 0.000 0.000
Pd2 0.750 0.250 0.500
Ru1 0.250 0.750 0.500
Ru2 0.500 0.500 0.000
Pb1 0.138 0.625 0.013
Pb2 0.375 0.388 0.513
Pb3 0.612 0.125 0.987
Pb4 0.875 0.862 0.487

Properties
Formation enthalpy at 0 K ... 0.672 eV/atom
Space group ... I-42d
Polymorph energy (0 for the lowest one) ... 401 meV per atom


Here is Ac6H2Pb3 after structural relaxation from the Alexandria database. Energies are from GGA-PBE.

Cell lengths 14.157, 14.157, 14.157 Å; angles 158.76, 158.76, 30.21 degrees
Atoms (fractional coordinates):
Ac1 0.083 0.583 0.500
Ac2 0.201 0.201 0.000
Ac3 0.417 0.917 0.500
Ac4 0.583 0.083 0.500
Ac5 0.799 0.799 0.000
Ac6 0.917 0.417 0.500
H1 0.102 0.102 0.000
H2 0.898 0.898 0.000
Pb1 0.326 0.326 0.000
Pb2 0.500 0.500 0.000
Pb3 0.674 0.674 0.000

Properties
Total energy ... -46.64 eV for the cell shown
Space group ... I4/mmm


Here is YMg6Sc3 after structural relaxation from the Alexandria database. Energies are from GGA-PBE.

Cell lengths 8.933, 5.117, 10.879 Å; angles 90.00, 105.80, 90.00 degrees
Atoms (fractional coordinates):
Y1 0.054 0.250 0.398
Y2 0.946 0.750 0.602
Mg1 0.055 0.750 0.908
Mg2 0.152 0.750 0.201
Mg3 0.159 0.250 0.709
Mg4 0.261 0.750 0.505
Mg5 0.357 0.250 0.299
Mg6 0.450 0.750 0.101
Mg7 0.550 0.250 0.899
Mg8 0.643 0.750 0.701
Mg9 0.739 0.250 0.495
Mg10 0.841 0.750 0.291
Mg11 0.848 0.250 0.799
Mg12 0.945 0.250 0.092
Sc1 0.255 0.250 0.003
Sc2 0.352 0.750 0.804
Sc3 0.454 0.250 0.605
Sc4 0.546 0.750 0.395
Sc5 0.648 0.250 0.196
Sc6 0.745 0.750 0.997

Properties
Formation enthalpy at 0 K ... -0.044 eV/atom
Space group ... P2_1/m


Sequential size of the total moment output: 0.000, 0.000, 1.346, 0.000, 2.144, 0.000, 7.721, 0.000, 0.002, 0.154 μB per cell
Sequential volume output: 24.5, 14.7, 21.3, 28.9, 17.3, 27.2, 25.8, 29.2, 33.8, 23.9 A^3/atom